Entry 1:
DFT (PBE) results for an optimized crystal structure of Dy3BeO6.

Electronic total energy = -157.1 eV/cell
Symmetry = Cmc2_1
Total magnetization = 2.12 μB per cell

Structure (extended XYZ):
```
20
Lattice="-0.744 4.935 0.760 -3.396 -1.459 6.146 6.794 0.687 2.192" Properties=species:S:1:pos:R:3 pbc="T T T"
Dy 1.213 1.505 7.591
Dy 3.210 4.471 7.052
Dy 2.530 1.970 4.049
Dy -0.141 3.953 5.321
Dy 1.095 4.952 1.861
Dy -0.902 1.985 2.400
Be 4.769 0.355 2.987
Be -1.770 1.524 5.760
O 1.950 0.495 5.717
O 1.853 3.020 5.990
O 4.529 0.865 4.561
O -0.766 2.297 6.851
O 6.243 1.167 2.461
O 4.083 3.657 3.572
O -1.347 -0.032 5.444
O -3.391 1.684 6.435
O 3.537 1.091 2.128
O -1.758 2.522 4.418
O 0.861 0.742 3.047
O 0.765 3.267 3.320
```

---

Entry 2:
DFT (PBE) results for an optimized crystal structure of DyPa2BeO8.

Electronic total energy = -100.5 eV/cell
Symmetry = P-3m1
Total magnetization = 0.00 μB per cell

Structure (extended XYZ):
```
12
Lattice="-0.487 -3.141 -3.788 4.105 -0.067 2.756 -2.696 -4.299 3.912" Properties=species:S:1:pos:R:3 pbc="T T T"
Dy -1.348 -2.150 1.956
Pa 0.655 -2.737 -1.042
Pa 0.267 -4.770 3.922
Be 0.000 0.000 0.000
O 0.117 -6.240 1.932
O -1.725 -4.606 2.457
O -1.973 -6.206 0.529
O 0.805 -1.268 0.948
O 2.647 -2.901 0.422
O 2.895 -1.302 2.351
O -0.158 -4.034 0.138
O 1.081 -3.474 2.742
```

---

Entry 3:
DFT (PBE) results for an optimized crystal structure of Dy2Be2SiO7.

Electronic total energy = -189.9 eV/cell
Symmetry = P-42_1m
Total magnetization = 0.00 μB per cell

Structure (extended XYZ):
```
24
Lattice="-3.741 2.748 5.680 0.610 -6.415 3.505 4.102 1.476 1.988" Properties=species:S:1:pos:R:3 pbc="T T T"
Dy 1.697 -1.003 3.107
Dy -0.662 -1.165 8.097
Dy -0.350 1.518 5.276
Dy 1.255 -3.733 5.864
Be 2.079 -2.373 8.549
Be 2.659 1.537 4.450
Be 0.043 -3.649 3.089
Be -2.842 0.101 6.257
Si 0.000 0.000 0.000
Si -1.566 -1.834 4.592
O 1.053 -2.938 2.115
O 1.483 2.580 4.465
O -0.681 -3.316 7.231
O -0.061 0.509 3.112
O 2.769 -2.680 4.459
O -0.087 1.104 7.543
O 1.025 -4.851 3.796
O -2.516 1.774 6.184
O 2.722 1.104 2.801
O 1.922 0.167 5.148
O 0.710 -2.410 9.564
O 1.509 -1.473 7.217
O -0.087 -2.510 4.351
O -1.405 -0.567 5.628
```

---

Entry 4:
DFT (PBE) results for an optimized crystal structure of Sr2DyBe2O6.

Electronic total energy = -74.8 eV/cell
Symmetry = R-3m
Total magnetization = 0.71 μB per cell

Structure (extended XYZ):
```
11
Lattice="-3.931 3.494 -1.734 -2.905 -1.148 -4.574 -6.180 -2.028 1.080" Properties=species:S:1:pos:R:3 pbc="T T T"
Sr -9.256 0.603 -4.332
Sr -3.759 -0.285 -0.894
Dy 0.000 0.000 0.000
Be -7.413 -0.493 -1.875
Be -5.603 0.811 -3.352
O -6.682 1.197 -4.373
O -4.795 -0.480 -3.541
O -5.288 1.748 -2.177
O -7.728 -1.430 -3.049
O -8.221 0.799 -1.686
O -6.334 -0.879 -0.854
```